This record from Alexandria describes Cd3CuI after structural relaxation. The functional is PBE.

```
Cd3CuI
1.0
5.2164 0.0000 0.0000
0.0000 5.2164 0.0000
0.0000 0.0000 5.2164
Cd Cu I
3 1 1
Cartesian
0.0000 0.0000 2.6082
0.0000 2.6082 0.0000
2.6082 0.0000 0.0000
0.0000 0.0000 0.0000
2.6082 2.6082 2.6082
```

## Properties
- Space-group type: Pm-3m, No. 221
- Calculated volume: 28.39 A^3/atom
- Energy relative to the elements, uncorrected: 31 kJ/mol of formula units
- D(E_F): 1.24 states/eV/f.u.
- DFT total energy: -1.614 eV/atom